# PBE NbHPd, relaxed
# V: 85.4 Å³/cell
# DFT total energy: -34.20 eV for the cell shown
# excess energy over the best structure of this formula in the dataset: 768 meV per atom
data_NbHPd
_chemical_formula_sum 'Nb2 H2 Pd2'
_space_group_name_H-M_alt 'I 4 m m'
_space_group_IT_number 107
_space_group_name_Hall 'I 4 -2'
_cell_length_a 3.674
_cell_length_b 3.674
_cell_length_c 6.330
_cell_angle_alpha 90.00
_cell_angle_beta 90.00
_cell_angle_gamma 90.00
loop_
_atom_site_label
_atom_site_type_symbol
_atom_site_fract_x
_atom_site_fract_y
_atom_site_fract_z
_atom_site_occupancy
Nb1 Nb 0.000 0.000 0.000 1
H1 H 0.000 0.000 0.320 1
Pd1 Pd 0.000 0.000 0.596 1

=====

# PBE Li3Ac2AgSb4, relaxed
# V: 252.1 Å³/cell
# DFT total energy: -40.81 eV for the cell shown
# formation energy without anion corrections: -0.75 eV per atom
data_Li3Ac2AgSb4
_chemical_formula_sum 'Li3 Ac2 Ag1 Sb4'
_space_group_name_H-M_alt 'P -4 m 2'
_space_group_IT_number 115
_cell_length_a 4.789
_cell_length_b 4.789
_cell_length_c 10.990
_cell_angle_alpha 90.00
_cell_angle_beta 90.00
_cell_angle_gamma 90.00
loop_
_space_group_symop_operation_xyz
'x,y,z'
'y,-x,-z'
'-x,-y,z'
'-y,x,-z'
'-x,y,z'
'-y,-x,-z'
'x,-y,z'
'y,x,-z'
loop_
_atom_site_label
_atom_site_type_symbol
_atom_site_fract_x
_atom_site_fract_y
_atom_site_fract_z
_atom_site_occupancy
Li1 Li 0.000 0.000 0.000 1
Li2 Li 0.000 0.500 0.616 1
Ac1 Ac 0.000 0.500 0.259 1
Ag1 Ag 0.500 0.500 0.000 1
Sb1 Sb 0.000 0.000 0.500 1
Sb2 Sb 0.000 0.500 0.855 1
Sb3 Sb 0.500 0.500 0.500 1

=====

# PBE La2NdTmAs4, relaxed
# V: 220.8 Å³/cell
# DFT total energy: -49.89 eV for the cell shown
# formation energy: -1.5252 eV per atom
data_La2NdTmAs4
_chemical_formula_sum 'La2 Nd1 Tm1 As4'
_space_group_name_H-M_alt 'P 1 2/m 1'
_space_group_IT_number 10
_cell_length_a 7.398
_cell_length_b 4.278
_cell_length_c 7.402
_cell_angle_alpha 90.00
_cell_angle_beta 109.48
_cell_angle_gamma 90.00
loop_
_space_group_symop_operation_xyz
'x,y,z'
'-x,-y,-z'
'-x,y,-z'
'x,-y,z'
loop_
_atom_site_label
_atom_site_type_symbol
_atom_site_fract_x
_atom_site_fract_y
_atom_site_fract_z
_atom_site_occupancy
La1 La 0.000 0.000 0.000 1
La2 La 0.000 0.500 0.500 1
Nd1 Nd 0.500 0.000 0.500 1
Tm1 Tm 0.500 0.500 0.000 1
As1 As 0.259 0.500 0.247 1
As2 As 0.262 0.000 0.760 1

=====

# PBE YTa3Tc, relaxed
# V: 111.1 Å³/cell
# DFT total energy: -38.96 eV for the cell shown
# excess energy over the best structure of this formula in the dataset: 1896 meV per atom
# formation energy: 2.6852 eV per atom
data_YTa3Tc
_chemical_formula_sum 'Y1 Ta3 Tc1'
_space_group_name_H-M_alt 'P m -3 m'
_space_group_IT_number 221
_space_group_name_Hall '-P 4 2 3'
_cell_length_a 4.807
_cell_length_b 4.807
_cell_length_c 4.807
_cell_angle_alpha 90.00
_cell_angle_beta 90.00
_cell_angle_gamma 90.00
loop_
_atom_site_label
_atom_site_type_symbol
_atom_site_fract_x
_atom_site_fract_y
_atom_site_fract_z
_atom_site_occupancy
Y1 Y 0.000 0.000 0.000 1
Ta1 Ta 0.000 0.000 0.500 1
Tc1 Tc 0.500 0.500 0.500 1